Crystalline BaTiCu2Cl8 at its relaxed geometry, computed with PBE.

a b c (Å): 6.161 6.095 8.803
angles (deg): 86.04 85.74 74.26
Site moments in Bohr magnetons follow the coordinates.
Atoms (fractional coordinates):
1 Ba 0.000 0.000 0.500  0.00
2 Ti 0.000 0.000 0.000  -0.02
3 Cu 0.471 0.457 0.696  0.08
4 Cu 0.529 0.543 0.304  0.08
5 Cl 0.204 0.744 0.200  0.00
6 Cl 0.762 0.775 0.001  0.00
7 Cl 0.757 0.217 0.202  0.00
8 Cl 0.796 0.256 0.800  0.00
9 Cl 0.238 0.225 0.999  0.00
10 Cl 0.243 0.783 0.798  0.00
11 Cl 0.678 0.679 0.493  0.01
12 Cl 0.322 0.321 0.507  0.01

---

Crystalline Ba3TlCu4Cl12 at its relaxed geometry, computed with PBE.

a b c (Å): 9.330 9.330 9.330
angles (deg): 103.98 103.98 103.98
Site moments in Bohr magnetons follow the coordinates.
Atoms (fractional coordinates):
1 Ba 0.540 0.460 0.000  0.00
2 Ba 0.460 0.000 0.540  0.00
3 Ba 0.000 0.540 0.460  0.00
4 Tl 0.000 0.000 0.000  0.00
5 Cu 0.950 0.050 0.500  0.21
6 Cu 0.050 0.500 0.950  0.21
7 Cu 0.500 0.950 0.050  0.21
8 Cu 0.500 0.500 0.500  0.18
9 Cl 0.500 0.349 0.651  0.01
10 Cl 0.895 0.500 0.105  0.03
11 Cl 0.105 0.895 0.500  0.03
12 Cl 0.500 0.105 0.895  0.03
13 Cl 0.352 0.990 0.197  0.02
14 Cl 0.197 0.352 0.990  0.02
15 Cl 0.990 0.197 0.352  0.02
16 Cl 0.648 0.803 0.010  0.02
17 Cl 0.010 0.648 0.803  0.02
18 Cl 0.803 0.010 0.648  0.02
19 Cl 0.651 0.500 0.349  0.01
20 Cl 0.349 0.651 0.500  0.01

**Density of states at the Fermi level**: 13.6 states/eV/cell

---

Crystalline BaTlCuCl4 at its relaxed geometry, computed with PBE.

a b c (Å): 7.024 6.950 8.903
angles (deg): 90.00 108.16 90.00
Site moments in Bohr magnetons follow the coordinates.
Atoms (fractional coordinates):
1 Ba 0.761 0.750 0.444  0.00
2 Ba 0.239 0.250 0.556  0.00
3 Tl 0.731 0.750 0.935  0.00
4 Tl 0.269 0.250 0.065  0.00
5 Cu 0.218 0.750 0.296  0.11
6 Cu 0.782 0.250 0.704  0.11
7 Cl 0.009 0.504 0.738  0.01
8 Cl 0.991 0.004 0.262  0.01
9 Cl 0.991 0.496 0.262  0.01
10 Cl 0.009 0.996 0.738  0.01
11 Cl 0.412 0.750 0.133  0.00
12 Cl 0.588 0.250 0.867  0.00
13 Cl 0.402 0.750 0.573  0.00
14 Cl 0.598 0.250 0.427  0.00

**Density of states at the Fermi level**: 0.0 states/eV/cell

---

Crystalline BaTlCu2Cl6 at its relaxed geometry, computed with PBE.

a b c (Å): 8.627 8.627 9.028
angles (deg): 102.54 102.54 83.80
Site moments in Bohr magnetons follow the coordinates.
Atoms (fractional coordinates):
1 Ba 0.127 0.873 0.250  0.00
2 Ba 0.873 0.127 0.750  0.00
3 Tl 0.600 0.400 0.250  0.00
4 Tl 0.400 0.600 0.750  0.00
5 Cu 0.419 0.073 0.723  0.32
6 Cu 0.927 0.581 0.777  0.32
7 Cu 0.581 0.927 0.277  0.32
8 Cu 0.073 0.419 0.223  0.32
9 Cl 0.876 0.607 0.170  0.07
10 Cl 0.393 0.124 0.330  0.07
11 Cl 0.124 0.393 0.830  0.07
12 Cl 0.607 0.876 0.670  0.07
13 Cl 0.972 0.189 0.117  0.03
14 Cl 0.811 0.028 0.383  0.03
15 Cl 0.028 0.811 0.883  0.03
16 Cl 0.189 0.972 0.617  0.03
17 Cl 0.270 0.553 0.374  0.03
18 Cl 0.447 0.730 0.126  0.03
19 Cl 0.730 0.447 0.626  0.03
20 Cl 0.553 0.270 0.874  0.03

**Density of states at the Fermi level**: 9.8 states/eV/cell

---

Crystalline BaUCu2Cl8 at its relaxed geometry, computed with PBE.

a b c (Å): 6.278 6.278 9.450
angles (deg): 90.00 90.00 120.00
Site moments in Bohr magnetons follow the coordinates.
Atoms (fractional coordinates):
1 Ba 0.000 0.000 0.000  0.00
2 U 0.000 0.000 0.500  2.13
3 Cu 0.667 0.333 0.232  -0.05
4 Cu 0.333 0.667 0.768  -0.05
5 Cl 0.333 0.667 0.004  -0.01
6 Cl 0.319 0.327 0.321  -0.02
7 Cl 0.673 0.991 0.321  -0.02
8 Cl 0.667 0.333 0.996  -0.01
9 Cl 0.327 0.009 0.679  -0.02
10 Cl 0.681 0.673 0.679  -0.02
11 Cl 0.991 0.319 0.679  -0.02
12 Cl 0.009 0.681 0.321  -0.02

**Density of states at the Fermi level**: 10.8 states/eV/cell

---

Crystalline Ba2VCuCl at its relaxed geometry, computed with PBE.

a b c (Å): 6.359 4.562 6.359
angles (deg): 90.00 90.00 90.00
Site moments in Bohr magnetons follow the coordinates.
Atoms (fractional coordinates):
1 Cl 0.000 0.500 0.000  0.02
2 Ba 0.000 0.000 0.500  -0.01
3 Ba 0.500 0.000 0.000  -0.01
4 Cu 0.000 0.000 0.000  0.01
5 V 0.500 0.500 0.500  0.41

**Density of states at the Fermi level**: 8.4 states/eV/cell

---

Crystalline BaCuW2Cl at its relaxed geometry, computed with PBE.

a b c (Å): 6.499 5.692 6.499
angles (deg): 90.00 90.00 90.00
Site moments in Bohr magnetons follow the coordinates.
Atoms (fractional coordinates):
1 Cu 0.500 0.500 0.500  -0.04
2 Ba 0.000 0.000 0.000  0.17
3 W 0.000 0.000 0.500  3.37
4 W 0.500 0.000 0.000  3.65
5 Cl 0.000 0.500 0.000  0.04

**Density of states at the Fermi level**: 1.6 states/eV/cell

---

Crystalline BaZnCu2Cl8 at its relaxed geometry, computed with PBE.

a b c (Å): 6.332 6.332 8.542
angles (deg): 90.00 90.00 120.00
Site moments in Bohr magnetons follow the coordinates.
Atoms (fractional coordinates):
1 Ba 0.000 0.000 0.000  0.00
2 Zn 0.000 0.000 0.500  0.01
3 Cu 0.667 0.333 0.276  0.50
4 Cu 0.333 0.667 0.724  0.50
5 Cl 0.333 0.667 0.987  0.16
6 Cl 0.304 0.312 0.323  0.09
7 Cl 0.688 0.992 0.323  0.09
8 Cl 0.667 0.333 0.013  0.16
9 Cl 0.312 0.008 0.677  0.09
10 Cl 0.696 0.688 0.677  0.09
11 Cl 0.992 0.304 0.677  0.09
12 Cl 0.008 0.696 0.323  0.09

**Density of states at the Fermi level**: 10.8 states/eV/cell

---

Crystalline BaZrCu2Cl8 at its relaxed geometry, computed with PBE.

a b c (Å): 6.213 6.200 8.997
angles (deg): 89.39 89.25 75.73
Atoms (fractional coordinates):
1 Ba 0.000 0.000 0.500
2 Zr 0.000 0.000 0.000
3 Cu 0.494 0.490 0.677
4 Cu 0.506 0.510 0.323
5 Cl 0.222 0.763 0.208
6 Cl 0.751 0.759 0.000
7 Cl 0.770 0.230 0.208
8 Cl 0.778 0.237 0.792
9 Cl 0.249 0.241 0.000
10 Cl 0.230 0.770 0.792
11 Cl 0.677 0.682 0.501
12 Cl 0.323 0.318 0.499

---

Crystalline Ba2DyCl7 at its relaxed geometry, computed with PBE.

a b c (Å): 15.669 6.977 10.661
angles (deg): 89.33 90.00 90.00
Atoms (fractional coordinates):
1 Ba 0.280 0.231 0.548
2 Ba 0.720 0.769 0.452
3 Ba 0.780 0.769 0.952
4 Ba 0.220 0.231 0.048
5 Ba 0.440 0.767 0.824
6 Ba 0.560 0.233 0.176
7 Ba 0.940 0.233 0.676
8 Ba 0.060 0.767 0.324
9 Dy 0.128 0.721 0.781
10 Dy 0.872 0.279 0.219
11 Dy 0.628 0.279 0.719
12 Dy 0.372 0.721 0.281
13 Cl 0.070 0.379 0.877
14 Cl 0.930 0.621 0.123
15 Cl 0.570 0.621 0.623
16 Cl 0.430 0.379 0.377
17 Cl 0.106 0.987 0.585
18 Cl 0.894 0.013 0.415
19 Cl 0.606 0.013 0.915
20 Cl 0.394 0.987 0.085
21 Cl 0.961 0.803 0.788
22 Cl 0.039 0.197 0.212
23 Cl 0.461 0.197 0.712
24 Cl 0.539 0.803 0.288
25 Cl 0.362 0.801 0.525
26 Cl 0.638 0.199 0.475
27 Cl 0.862 0.199 0.975
28 Cl 0.138 0.801 0.025
29 Cl 0.258 0.988 0.800
30 Cl 0.742 0.012 0.200
31 Cl 0.758 0.012 0.700
32 Cl 0.242 0.988 0.300
33 Cl 0.273 0.502 0.793
34 Cl 0.727 0.498 0.207
35 Cl 0.773 0.498 0.707
36 Cl 0.227 0.502 0.293
37 Cl 0.104 0.502 0.572
38 Cl 0.896 0.498 0.428
39 Cl 0.604 0.498 0.928
40 Cl 0.396 0.502 0.072

**Density of states at the Fermi level**: 0.0 states/eV/cell

---

Crystalline BaDyInCl6 at its relaxed geometry, computed with PBE.

a b c (Å): 7.659 7.659 12.851
angles (deg): 90.00 90.00 120.00
Atoms (fractional coordinates):
1 Ba 0.333 0.667 0.250
2 Ba 0.667 0.333 0.750
3 Dy 0.667 0.333 0.250
4 Dy 0.333 0.667 0.750
5 In 0.000 0.000 0.000
6 In 0.000 0.000 0.500
7 Cl 0.659 0.616 0.133
8 Cl 0.957 0.341 0.133
9 Cl 0.341 0.957 0.633
10 Cl 0.043 0.659 0.867
11 Cl 0.384 0.341 0.367
12 Cl 0.957 0.616 0.367
13 Cl 0.616 0.957 0.867
14 Cl 0.659 0.043 0.367
15 Cl 0.043 0.384 0.633
16 Cl 0.384 0.043 0.133
17 Cl 0.616 0.659 0.633
18 Cl 0.341 0.384 0.867

**Density of states at the Fermi level**: 0.0 states/eV/cell

---

Crystalline KBaDyCl6 at its relaxed geometry, computed with PBE.

a b c (Å): 7.545 7.545 12.753
angles (deg): 90.00 90.00 120.00
Atoms (fractional coordinates):
1 K 0.333 0.667 0.250
2 K 0.667 0.333 0.750
3 Ba 0.000 0.000 0.000
4 Ba 0.000 0.000 0.500
5 Dy 0.667 0.333 0.250
6 Dy 0.333 0.667 0.750
7 Cl 0.677 0.628 0.131
8 Cl 0.951 0.323 0.131
9 Cl 0.323 0.951 0.631
10 Cl 0.049 0.677 0.869
11 Cl 0.372 0.323 0.369
12 Cl 0.951 0.628 0.369
13 Cl 0.628 0.951 0.869
14 Cl 0.677 0.049 0.369
15 Cl 0.049 0.372 0.631
16 Cl 0.372 0.049 0.131
17 Cl 0.628 0.677 0.631
18 Cl 0.323 0.372 0.869

**Density of states at the Fermi level**: 0.0 states/eV/cell

---

For the records above, the corresponding magnetic moment values read 0.2 1.1 0.3 2.0 2.0 0.5 10.1 2.1 0.1 0.0 0.0 0.0 μB/cell.
For the records above, the corresponding E_form (uncorrected) values read -1.342 -1.408 -1.479 -1.190 -1.422 0.640 2.832 -1.056 -1.436 -2.443 -2.037 -2.298 eV per atom.